1.
Tl8SnHg6: relaxed, PBE-GGA.

Cell: 8.762 8.762 8.712 Å, 59.81 59.81 60.00°
Fractional positions:
1 Tl 0.534 0.229 0.347
2 Tl 0.771 0.110 0.653
3 Tl 0.110 0.466 0.653
4 Tl 0.666 0.666 0.003
5 Tl 0.334 0.334 0.997
6 Tl 0.890 0.534 0.347
7 Tl 0.229 0.890 0.347
8 Tl 0.466 0.771 0.653
9 Sn 0.000 0.000 0.000
10 Hg 0.377 0.065 0.819
11 Hg 0.935 0.261 0.181
12 Hg 0.261 0.623 0.181
13 Hg 0.739 0.377 0.819
14 Hg 0.065 0.739 0.819
15 Hg 0.623 0.935 0.181

Calculated formation energy = 0.024 eV per atom
M_tot = 0.000 μB/f.u.

2.
NaAuNF2: relaxed, PBE-GGA.

Cell: 4.144 4.144 4.462 Å, 90.00 90.00 90.00°
Fractional positions:
1 Na 0.000 0.000 0.000
2 N 0.000 0.000 0.500
3 Au 0.500 0.500 0.500
4 F 0.000 0.500 0.000
5 F 0.500 0.000 0.000

M_tot = 3.033 μB/f.u.
Formation energy without anion corrections = 0.16 eV/atom

3.
AcTl2CuS4: relaxed, PBE-GGA.

Cell: 4.172 7.546 13.795 Å, 90.00 90.00 106.05°
Fractional positions:
1 Ac 0.058 0.116 0.750
2 Ac 0.942 0.884 0.250
3 Tl 0.363 0.726 0.537
4 Tl 0.637 0.274 0.037
5 Tl 0.637 0.274 0.463
6 Tl 0.363 0.726 0.963
7 Cu 0.834 0.668 0.750
8 Cu 0.166 0.332 0.250
9 S 0.312 0.624 0.169
10 S 0.688 0.376 0.669
11 S 0.688 0.376 0.831
12 S 0.312 0.624 0.331
13 S 0.000 0.000 0.500
14 S 0.000 0.000 0.000
15 S 0.407 0.814 0.750
16 S 0.593 0.186 0.250

M_tot = 0.000 μB/f.u.
Formation energy without anion corrections = -0.78 eV/atom

4.
Hg2PtPb: relaxed, PBE-GGA.

Cell: 3.926 4.074 6.316 Å, 72.27 90.00 90.00°
Fractional positions:
1 Hg 0.000 0.793 0.029
2 Hg 0.500 0.206 0.212
3 Pb 0.000 0.527 0.570
4 Pt 0.500 0.974 0.689

Calculated formation energy = 0.008 eV per atom
M_tot = 0.000 μB/f.u.

5.
Er6Cd2Os: relaxed, PBE-GGA.

Cell: 3.894 8.439 8.436 Å, 120.01 90.00 90.00°
Fractional positions:
1 Er 0.500 0.614 0.000
2 Er 0.500 0.386 0.386
3 Er 0.500 0.000 0.614
4 Er 0.000 0.244 0.000
5 Er 0.000 0.756 0.756
6 Er 0.000 0.000 0.244
7 Cd 0.000 0.333 0.667
8 Cd 0.000 0.667 0.333
9 Os 0.500 0.000 0.000

Calculated formation energy = -0.224 eV per atom
M_tot = 0.000 μB/f.u.

6.
ReSiPt3: relaxed, PBE-GGA.

Cell: 4.499 4.499 4.499 Å, 90.00 90.00 90.00°
Fractional positions:
1 Re 0.500 0.500 0.500
2 Si 0.000 0.000 0.000
3 Pt 0.000 0.500 0.000
4 Pt 0.000 0.000 0.500
5 Pt 0.500 0.000 0.000

M_tot = 3.787 μB/f.u.
Formation energy without anion corrections = 0.84 eV/atom

7.
Na2PuCl8: relaxed, PBE-GGA.

Cell: 4.739 6.904 10.566 Å, 111.76 102.96 90.00°
Fractional positions:
1 Na 0.807 0.409 0.614
2 Na 0.193 0.591 0.386
3 Pu 0.500 0.000 0.000
4 Cl 0.415 0.606 0.829
5 Cl 0.620 0.973 0.240
6 Cl 0.760 0.734 0.520
7 Cl 0.983 0.195 0.966
8 Cl 0.240 0.266 0.480
9 Cl 0.380 0.027 0.760
10 Cl 0.585 0.394 0.171
11 Cl 0.017 0.805 0.034

M_tot = 1.930 μB/f.u.
Formation energy without anion corrections = -1.23 eV/atom

8.
PmY2Tl3S6: relaxed, PBE-GGA.

Cell: 7.057 7.057 7.872 Å, 98.59 98.59 119.99°
Fractional positions:
1 Pm 0.000 0.000 0.000
2 Y 0.333 0.667 0.000
3 Y 0.667 0.333 0.000
4 Tl 0.166 0.834 0.500
5 Tl 0.834 0.166 0.500
6 Tl 0.500 0.500 0.500
7 S 0.933 0.593 0.800
8 S 0.727 0.727 0.199
9 S 0.067 0.407 0.200
10 S 0.593 0.933 0.800
11 S 0.273 0.273 0.801
12 S 0.407 0.067 0.200

M_tot = 0.000 μB/f.u.
Formation energy without anion corrections = -1.48 eV/atom